one | Here is a PBEsol-optimized structure of MgZn2Cd from Alexandria. Energies are from meta-GGA SCAN.

Cell lengths 3.2786, 4.7190, 4.7190 Å; angles 104.16, 90.00, 90.00 degrees
With the nearest neighbours (Å) after each atom.
Positions (direct):
Cd  0.5000  0.0000  0.0000  8 Zn 2.87, 2 Mg 2.90
Mg  0.5000  0.5000  0.5000  8 Zn 2.87, 2 Cd 2.90
Zn  0.0000  0.5000  0.0000  4 Cd 2.87, 4 Mg 2.87, 2 Zn 2.90
Zn  0.0000  0.0000  0.5000  4 Mg 2.87, 4 Cd 2.87, 2 Zn 2.90



two | Here is a PBEsol-optimized structure of MgZn2Cd from Alexandria. Energies are from meta-GGA SCAN.

Cell lengths 3.0519, 4.5576, 5.2392 Å; angles 90.00, 89.89, 90.00 degrees
With the nearest neighbours (Å) after each atom.
Positions (direct):
Zn  0.5008  0.0000  0.7370  2 Zn 2.48-2.76, 2 Cd 2.66
Zn  0.4992  0.0000  0.2630  2 Zn 2.48-2.76, 2 Cd 2.66
Mg  0.0000  0.5000  0.5000  8 Zn 3.01, 4 Cd 3.03, 2 Mg 3.05
Cd  0.5000  0.5000  0.0000  4 Zn 2.66



On energetic grounds, two is preferred over the next structure by 3.4 kJ/mol of atoms.



one | Here is a PBEsol-optimized structure of MnBeAs2 from Alexandria. Energies are from meta-GGA SCAN.

Cell lengths 3.3602, 3.3602, 5.1822 Å; angles 90.00, 90.00, 90.00 degrees
With the nearest neighbours (Å) after each atom.
Positions (direct):
Be  0.0000  0.0000  0.4611  5 As 2.36-2.47
As  0.0000  0.0000  0.9160  1 Be 2.36, 4 Mn 2.46
As  0.5000  0.5000  0.3282  1 Mn 2.42, 4 Be 2.47
Mn  0.5000  0.5000  0.7947  5 As 2.42-2.46



two | Here is a PBEsol-optimized structure of MnBeAs2 from Alexandria. Energies are from meta-GGA SCAN.

Cell lengths 3.0764, 3.3877, 6.1106 Å; angles 106.09, 104.58, 90.00 degrees
With the nearest neighbours (Å) after each atom.
Positions (direct):
Be  0.5436  0.5436  0.0871  2 Mn 2.30, 4 As 2.32
As  0.0095  0.0095  0.0190  4 Be 2.32, 2 Mn 2.48
As  0.2661  0.7661  0.5322  4 Mn 2.48
Mn  0.6808  0.1808  0.3616  2 Be 2.30, 6 As 2.48



On energetic grounds, one is preferred over the next structure by 5.7 kJ/mol of atoms.



one | Here is a PBEsol-optimized structure of AgPt2Au from Alexandria. Energies are from meta-GGA SCAN.

Cell lengths 2.7470, 4.7968, 4.8116 Å; angles 90.00, 90.00, 90.63 degrees
With the nearest neighbours (Å) after each atom.
Positions (direct):
Au  0.5000  0.0000  0.5000  2 Au 2.75, 4 Ag 2.75-2.78, 4 Pt 2.78
Pt  0.2522  0.2502  0.0000  6 Pt 2.74-2.78, 2 Au 2.78, 2 Ag 2.78
Pt  0.7478  0.7497  0.0000  6 Pt 2.74-2.78, 2 Au 2.78, 2 Ag 2.78
Ag  0.0000  0.5000  0.5000  2 Ag 2.75, 4 Au 2.75-2.78, 4 Pt 2.78



two | Here is a PBEsol-optimized structure of AgPt2Au from Alexandria. Energies are from meta-GGA SCAN.

Cell lengths 2.7820, 4.8373, 4.9616 Å; angles 99.14, 90.00, 106.71 degrees
With the nearest neighbours (Å) after each atom.
Positions (direct):
Au  0.2524  0.5049  0.7448  3 Ag 2.74-2.82, 2 Au 2.78, 7 Pt 2.82-2.87
Pt  0.0024  0.0049  0.0134  5 Pt 2.73-2.78, 4 Ag 2.81-2.88, 3 Au 2.84-2.86
Pt  0.7466  0.4931  0.2371  5 Pt 2.73-2.78, 4 Au 2.82-2.87, 3 Ag 2.84-2.85
Ag  0.4986  0.9971  0.5048  3 Au 2.74-2.82, 2 Ag 2.78, 7 Pt 2.81-2.88



On energetic grounds, one is preferred over the next structure by 4.3 kJ/mol of atoms.



one | Here is a PBEsol-optimized structure of MnZn2Co from Alexandria. Energies are from meta-GGA SCAN.

Cell lengths 3.6728, 3.6735, 4.4343 Å; angles 114.47, 114.46, 90.00 degrees
With the nearest neighbours (Å) after each atom.
Positions (direct):
Zn  0.0000  0.0000  0.0000  4 Mn 2.57, 4 Zn 2.57, 4 Co 2.60
Zn  0.2500  0.7500  0.5000  4 Co 2.57, 4 Zn 2.57, 4 Mn 2.60
Mn  0.7500  0.2500  0.4999  8 Zn 2.57-2.60, 4 Co 2.57
Co  0.5000  0.5000  0.0001  8 Zn 2.57-2.60, 4 Mn 2.57



two | Here is a PBEsol-optimized structure of MnZn2Co from Alexandria. Energies are from meta-GGA SCAN.

Cell lengths 4.0916, 4.0916, 4.0916 Å; angles 60.00, 60.00, 60.00 degrees
With the nearest neighbours (Å) after each atom.
Positions (direct):
Zn  0.0000  0.0000  0.0000  4 Zn 2.51, 4 Mn 2.51
Zn  0.7500  0.7500  0.7500  4 Zn 2.51, 4 Co 2.51
Mn  0.2500  0.2500  0.2500  4 Co 2.51, 4 Zn 2.51
Co  0.5000  0.5000  0.5000  4 Mn 2.51, 4 Zn 2.51



On energetic grounds, two is preferred over the next structure by 3.6 kJ/mol of atoms.